# 1
The following is a PBE calculation of a geometry-optimized Ti5Nb2Co2Pd structure, from the Alexandria database.

a = 3.0301 Å, b = 10.2748 Å, c = 10.2748 Å
α = 90.00°, β = 90.00°, γ = 90.00°
With the nearest neighbours (Å) after each atom.
Element x y z (fractional)
Ti 0.5000 0.4396 0.2919  2 Co 2.36
Ti 0.5000 0.2081 0.0604  2 Co 2.36
Ti 0.5000 0.7919 0.9396  2 Co 2.36
Ti 0.5000 0.2919 0.5604  2 Co 2.36
Ti 0.5000 0.7081 0.4396  2 Co 2.36
Ti 0.5000 0.0604 0.7919  2 Co 2.36
Ti 0.5000 0.0000 0.5000  4 Co 2.41
Ti 0.5000 0.5000 0.0000  4 Co 2.41
Ti 0.5000 0.5604 0.7081  2 Co 2.36
Ti 0.5000 0.9396 0.2081  2 Co 2.36
Nb 0.0000 0.8265 0.6735  3 Co 2.87-3.14, 10 Ti 2.94-3.15, 2 Nb 3.03
Nb 0.0000 0.1735 0.3265  3 Co 2.87-3.14, 10 Ti 2.94-3.15, 2 Nb 3.03
Nb 0.0000 0.6735 0.1735  3 Co 2.87-3.14, 10 Ti 2.94-3.15, 2 Nb 3.03
Nb 0.0000 0.3265 0.8265  3 Co 2.87-3.14, 10 Ti 2.94-3.15, 2 Nb 3.03
Co 0.0000 0.1290 0.6290  6 Ti 2.36-2.41
Co 0.0000 0.3710 0.1290  6 Ti 2.36-2.41
Co 0.0000 0.8710 0.3710  6 Ti 2.36-2.41
Co 0.0000 0.6290 0.8710  6 Ti 2.36-2.41
Pd 0.0000 0.5000 0.5000  8 Ti 2.69
Pd 0.0000 0.0000 0.0000  8 Ti 2.69

Properties
**Space group**: P4/mbm (127)
**Formation energy**: -0.23 eV per atom
**Mass density**: 6.7 g cm⁻³
**Fermi-level density of states**: 8.6 states/eV/f.u.

---

# 2
The following is a PBE calculation of a geometry-optimized PmNbCo10 structure, from the Alexandria database.

a = 3.9812 Å, b = 4.7966 Å, c = 8.3604 Å
α = 90.00°, β = 90.00°, γ = 90.00°
With the nearest neighbours (Å) after each atom.
Element x y z (fractional)
Co 0.0000 0.0000 0.3473  7 Co 2.36-2.55
Co 0.0000 0.5000 0.8138  6 Co 2.39-2.53, 1 Nb 2.62
Co 0.5000 0.2577 0.2623  8 Co 2.32-2.48
Co 0.0000 0.0000 0.6527  7 Co 2.36-2.55
Co 0.5000 0.5000 0.0000  8 Co 2.48-2.53
Co 0.5000 0.2577 0.7377  8 Co 2.32-2.48
Co 0.5000 0.7423 0.2623  8 Co 2.32-2.48
Co 0.5000 0.0000 0.5000  8 Co 2.34-2.36
Co 0.0000 0.5000 0.1862  6 Co 2.39-2.53, 1 Nb 2.62
Co 0.5000 0.7423 0.7377  8 Co 2.32-2.48
Pm 0.0000 0.0000 0.0000  10 Co 2.86-3.12
Nb 0.0000 0.5000 0.5000  6 Co 2.62-2.72

Properties
**Space group**: Pmmm (47)
**Formation energy**: 0.01 eV per atom
**Mass density**: 8.6 g cm⁻³
**Fermi-level density of states**: 17.3 states/eV/f.u.

---

What is the Fermi-level density of states in the first record?
8.6 states/eV/f.u.

---

Look up the Fermi-level density of states of the first one.
8.6 states/eV/f.u.

---

Which of these has the lowest formation energy?
Ti5Nb2Co2Pd